Compound: CaLaTlGa
Source: the Alexandria database
Functional: PBE-GGA
Structure: optimized geometry

a b c (Å): 5.438 5.438 5.438
angles (deg): 60.00 60.00 60.00
Positions (direct):
Ca 0.000 0.000 0.000
La 0.500 0.500 0.500
Tl 0.250 0.250 0.250
Ga 0.750 0.750 0.750

Results
SG ... F-43m, No. 216
ΔE_f ... -0.46 eV per atom
Energy ... -3.538 eV per atom
Magnetic moment ... 0.00 μB per cell